This record from Alexandria via LeMat-Bulk describes crystalline MnCrHO2 at its relaxed geometry. The functional is PBE+U.

```
MnCrHO2
1.0
-2.983 1.982 -1.439
-1.080 -3.146 2.994
2.720 2.738 3.366
H Mn O Cr
1 1 2 1
Direct
0.573 0.478 0.466 H
0.964 0.595 0.133 Mn
0.587 0.250 0.724 O
0.589 0.642 0.336 O
0.006 0.122 0.688 Cr
```

Output
Crystal system   triclinic
Calculated volume   14.26 Å³ per atom
Theoretical density   3.26 g/cm3
Space group   P1, No. 1
Raw total energy   -6.55 eV per atom
N(E_F)   1.17 states/eV per cell